Crystalline CsNb4O8 at its relaxed geometry, computed with GGA-PBE.

POSCAR file:
```
CsNb4O8
1.0
-5.4910 5.4910 1.5064
5.4910 -5.4910 1.5064
5.4910 5.4910 -1.5064
Cs Nb O
1 4 8
Direct
0.0000 0.0000 0.0000
0.1528 0.6671 0.8198
0.3329 0.1528 0.4857
0.6671 0.8472 0.5143
0.8472 0.3329 0.1802
0.0311 0.3346 0.3657
0.3073 0.3423 0.6496
0.3346 0.9689 0.3034
0.3423 0.6927 0.0349
0.6577 0.3073 0.9651
0.6654 0.0311 0.6966
0.6927 0.6577 0.3504
0.9689 0.6654 0.6343
```

Results
Size of the total moment ... 0.0000 μB/atom
Formation energy from raw total energies ... -2.2422 eV per atom

Crystalline Th8IrPt3Se4 at its relaxed geometry, computed with GGA-PBE.

POSCAR file:
```
Th8IrPt3Se4
1.0
7.2070 -4.1560 0.0000
7.2070 4.1560 0.0000
-4.8047 0.0000 7.2826
Th Ir Pt Se
8 1 3 4
Direct
0.2395 0.2395 0.7267
0.2395 0.7480 0.7267
0.2520 0.7605 0.2733
0.2565 0.2565 0.2697
0.7435 0.7435 0.7303
0.7480 0.2395 0.7267
0.7605 0.2520 0.2733
0.7605 0.7605 0.2733
0.0000 0.0000 0.5000
0.0000 0.5000 0.5000
0.5000 0.0000 0.5000
0.5000 0.5000 0.5000
0.0000 0.0000 0.0000
0.0000 0.5000 0.0000
0.5000 0.0000 0.0000
0.5000 0.5000 0.0000
```

Results
Size of the total moment ... 0.0000 μB/atom
Formation energy from raw total energies ... -1.3457 eV per atom

Crystalline TiNb2Te5 at its relaxed geometry, computed with GGA-PBE.

POSCAR file:
```
TiNb2Te5
1.0
2.7259 -6.4948 0.0000
2.7259 6.4948 0.0000
0.0000 0.0000 12.1194
Ti Nb Te
2 4 10
Direct
0.2365 0.7635 0.7500
0.7635 0.2365 0.2500
0.1491 0.8509 0.1126
0.1491 0.8509 0.3874
0.8509 0.1491 0.6126
0.8509 0.1491 0.8874
0.0612 0.9388 0.6129
0.0612 0.9388 0.8871
0.3208 0.6792 0.2500
0.3304 0.6696 0.5468
0.3304 0.6696 0.9532
0.6696 0.3304 0.0468
0.6696 0.3304 0.4532
0.6792 0.3208 0.7500
0.9388 0.0612 0.1129
0.9388 0.0612 0.3871
```

Results
Polymorph energy (0 for the lowest one) ... 0.045 eV per atom
Size of the total moment ... 0.0000 μB/atom
Formation energy from raw total energies ... -0.2664 eV per atom

Crystalline Dy2TcS at its relaxed geometry, computed with GGA-PBE.

POSCAR file:
```
Dy2TcS
1.0
1.7375 1.0031 8.8555
-1.7375 1.0031 8.8555
0.0000 -2.0063 8.8555
Dy Tc S
2 1 1
Direct
0.0989 0.0989 0.0989
0.9011 0.9011 0.9011
0.0000 0.0000 0.0000
0.5000 0.5000 0.5000
```

Results
Size of the total moment ... 0.2347 μB/atom
Formation energy from raw total energies ... -0.1751 eV per atom

Crystalline NdTm4S6 at its relaxed geometry, computed with GGA-PBE.

POSCAR file:
```
NdTm4S6
1.0
1.9150 -6.3459 0.0000
1.9150 6.3459 0.0000
0.0000 0.0000 19.6937
Nd Tm S
2 8 12
Direct
0.1532 0.8468 0.7500
0.8468 0.1532 0.2500
0.0924 0.9076 0.1260
0.0924 0.9076 0.3740
0.3617 0.6383 0.0391
0.3617 0.6383 0.4609
0.6383 0.3617 0.5391
0.6383 0.3617 0.9609
0.9076 0.0924 0.6260
0.9076 0.0924 0.8740
0.0000 0.0000 0.0000
0.0000 0.0000 0.5000
0.1821 0.8179 0.2500
0.2682 0.7318 0.5881
0.2682 0.7318 0.9119
0.4537 0.5463 0.1636
0.4537 0.5463 0.3364
0.5463 0.4537 0.6636
0.5463 0.4537 0.8364
0.7318 0.2682 0.0881
0.7318 0.2682 0.4119
0.8179 0.1821 0.7500
```

Results
Size of the total moment ... 0.0000 μB/atom
Formation energy from raw total energies ... -2.0208 eV per atom

Crystalline Ho2PaTaC4 at its relaxed geometry, computed with GGA-PBE.

POSCAR file:
```
Ho2PaTaC4
1.0
-3.4334 3.4931 4.9038
3.4334 -3.4931 4.9038
3.4334 3.4931 -4.9038
Ho Pa Ta C
4 2 2 8
Direct
0.0000 0.0000 0.0000
0.5000 0.0000 0.0000
0.5000 0.0000 0.5000
0.5000 0.5000 0.5000
0.0000 0.5000 0.5000
0.5000 0.5000 0.0000
0.0000 0.0000 0.5000
0.0000 0.5000 0.0000
0.2221 0.7465 0.4757
0.2292 0.2535 0.9757
0.2322 0.2435 0.5114
0.2322 0.7208 0.9886
0.7678 0.2792 0.0114
0.7678 0.7565 0.4886
0.7708 0.7465 0.0243
0.7779 0.2535 0.5243
```

Results
Size of the total moment ... 0.0000 μB/atom
Formation enthalpy at 0 K ... -0.444 eV per atom

Crystalline Nd3TmIn4 at its relaxed geometry, computed with GGA-PBE.

POSCAR file:
```
Nd3TmIn4
1.0
3.8121 0.0000 0.0000
0.0000 3.8121 0.0000
0.0000 0.0000 15.5537
Nd Tm In
3 1 4
Direct
0.0000 0.0000 0.0000
0.0000 0.0000 0.2574
0.0000 0.0000 0.7426
0.0000 0.0000 0.5000
0.5000 0.5000 0.1288
0.5000 0.5000 0.3870
0.5000 0.5000 0.6130
0.5000 0.5000 0.8712
```

Results
Polymorph energy (0 for the lowest one) ... 0.000 eV per atom
Size of the total moment ... 0.0000 μB/atom
Formation enthalpy at 0 K ... -0.482 eV per atom

Crystalline Na2TmTeSe4 at its relaxed geometry, computed with GGA-PBE.

POSCAR file:
```
Na2TmTeSe4
1.0
5.8492 -5.8247 0.0000
5.8492 5.8247 0.0000
-5.3120 0.0000 6.2813
Na Tm Te Se
4 2 2 8
Direct
0.0000 0.0000 0.0000
0.0000 0.0000 0.5000
0.0000 0.5000 0.0000
0.5000 0.0000 0.5000
0.5000 0.5000 0.0000
0.5000 0.5000 0.5000
0.0000 0.5000 0.5000
0.5000 0.0000 0.0000
0.2315 0.7177 0.4761
0.2678 0.2840 0.5419
0.2823 0.7685 0.0239
0.2840 0.2678 0.0419
0.7160 0.7322 0.9581
0.7177 0.2315 0.9761
0.7322 0.7160 0.4581
0.7685 0.2823 0.5239
```

Results
Size of the total moment ... 0.0000 μB/atom
Formation energy from raw total energies ... -1.0165 eV per atom

Crystalline VGa4Co5 at its relaxed geometry, computed with GGA-PBE.

POSCAR file:
```
VGa4Co5
1.0
2.8695 0.0000 0.0000
0.0000 2.8695 0.0000
0.0000 0.0000 14.5786
V Ga Co
1 4 5
Direct
0.0000 0.0000 0.0000
0.0000 0.0000 0.1997
0.0000 0.0000 0.3998
0.0000 0.0000 0.6002
0.0000 0.0000 0.8003
0.5000 0.5000 0.0977
0.5000 0.5000 0.3009
0.5000 0.5000 0.5000
0.5000 0.5000 0.6991
0.5000 0.5000 0.9023
```

Results
Size of the total moment ... 0.2688 μB/atom
Formation enthalpy at 0 K ... -0.258 eV per atom